(1)
Compound: PmB3Ru6
Source: Alexandria
Functional: PBE-GGA
Structure: relaxed

a = 5.510 Å, b = 5.657 Å, c = 6.030 Å
α = 85.12°, β = 121.67°, γ = 119.04°
Positions (direct):
Pm: 0.937 0.931 0.894
B: 0.628 0.305 0.977
B: 0.317 0.675 0.969
B: 0.279 0.267 0.386
Ru: 0.281 0.418 0.701
Ru: 0.164 0.571 0.243
Ru: 0.733 0.053 0.257
Ru: 0.257 0.899 0.633
Ru: 0.772 0.360 0.692
Ru: 0.632 0.522 0.249

Calculated values
mass density: 9.560 Mg/m³
total energy: -8.21 eV per atom
energy of formation from the pure elements: -0.1614 eV per atom

(2)
Compound: PmBRu
Source: Alexandria
Functional: PBE-GGA
Structure: relaxed

a = 3.922 Å, b = 3.967 Å, c = 8.164 Å
α = 90.00°, β = 103.90°, γ = 90.00°
Positions (direct):
Pm: 0.891 0.250 0.783
Pm: 0.109 0.750 0.217
B: 0.695 0.250 0.391
B: 0.305 0.750 0.609
Ru: 0.250 0.250 0.500
Ru: 0.750 0.750 0.500

Calculated values
mass density: 6.918 Mg/m³
total energy: -7.21 eV per atom
energy of formation from the pure elements: -0.3060 eV per atom

(3)
Compound: PmBRu3
Source: Alexandria
Functional: PBE-GGA
Structure: relaxed

a = 4.247 Å, b = 4.247 Å, c = 4.247 Å
α = 90.00°, β = 90.00°, γ = 90.00°
Positions (direct):
Ru: 0.000 0.500 0.000
Ru: 0.000 0.000 0.500
Ru: 0.500 0.000 0.000
B: 0.000 0.000 0.000
Pm: 0.500 0.500 0.500

Calculated values
mass density: 9.950 Mg/m³
total energy: -8.05 eV per atom
energy of formation from the pure elements: -0.1995 eV per atom

(4)
Compound: Pm2B2Ru
Source: Alexandria
Functional: PBE-GGA
Structure: relaxed

a = 3.740 Å, b = 6.160 Å, c = 8.367 Å
α = 92.64°, β = 77.08°, γ = 72.33°
Positions (direct):
Pm: 0.673 0.330 0.324
Pm: 0.917 0.260 0.905
Pm: 0.327 0.670 0.676
Pm: 0.083 0.740 0.095
B: 0.110 0.211 0.569
B: 0.583 0.938 0.896
B: 0.890 0.789 0.431
B: 0.417 0.062 0.104
Ru: 0.650 0.066 0.634
Ru: 0.350 0.934 0.366

Calculated values
mass density: 7.713 Mg/m³
total energy: -6.67 eV per atom
energy of formation from the pure elements: -0.2424 eV per atom

(5)
Compound: PmB2Ru5
Source: Alexandria
Functional: PBE-GGA
Structure: relaxed

a = 3.746 Å, b = 5.898 Å, c = 5.898 Å
α = 70.01°, β = 71.48°, γ = 71.48°
Positions (direct):
Pm: 0.000 0.000 0.000
B: 0.759 0.741 0.741
B: 0.241 0.259 0.259
Ru: 0.000 0.500 0.500
Ru: 0.655 0.537 0.152
Ru: 0.345 0.463 0.848
Ru: 0.345 0.848 0.463
Ru: 0.655 0.152 0.537

Calculated values
mass density: 9.886 Mg/m³
total energy: -8.13 eV per atom
energy of formation from the pure elements: -0.0696 eV per atom

(6)
Compound: PmBRu2
Source: Alexandria
Functional: PBE-GGA
Structure: relaxed

a = 3.417 Å, b = 3.417 Å, c = 6.862 Å
α = 75.58°, β = 75.58°, γ = 60.00°
Positions (direct):
Ru: 0.714 0.714 0.857
Ru: 0.286 0.286 0.143
B: 0.000 0.000 0.000
Pm: 0.500 0.500 0.500

Calculated values
mass density: 8.945 Mg/m³
total energy: -7.47 eV per atom
energy of formation from the pure elements: 0.0271 eV per atom

(7)
Compound: PmB2Ru3
Source: Alexandria
Functional: PBE-GGA
Structure: relaxed

a = 3.588 Å, b = 8.931 Å, c = 8.932 Å
α = 120.00°, β = 90.00°, γ = 90.00°
Positions (direct):
Pm: 0.500 0.000 0.000
Pm: 0.000 0.667 0.333
Pm: 0.000 0.333 0.667
B: 0.500 0.810 0.190
B: 0.500 0.380 0.190
B: 0.500 0.810 0.620
B: 0.500 0.190 0.810
B: 0.500 0.620 0.810
B: 0.500 0.190 0.380
Ru: 0.500 0.500 0.500
Ru: 0.500 0.000 0.500
Ru: 0.500 0.500 0.000
Ru: 0.000 0.716 0.716
Ru: 0.000 0.000 0.284
Ru: 0.000 0.284 0.000
Ru: 0.000 0.284 0.284
Ru: 0.000 0.000 0.716
Ru: 0.000 0.716 0.000

Calculated values
mass density: 9.442 Mg/m³
total energy: -7.84 eV per atom
energy of formation from the pure elements: -0.1799 eV per atom

(8)
Compound: Pm2BRu2
Source: Alexandria
Functional: PBE-GGA
Structure: relaxed

a = 3.265 Å, b = 6.283 Å, c = 5.790 Å
α = 122.86°, β = 106.37°, γ = 90.00°
Positions (direct):
Pm: 0.798 0.298 0.596
Pm: 0.202 0.702 0.404
B: 0.000 0.000 0.000
Ru: 0.500 0.772 0.000
Ru: 0.500 0.228 0.000

Calculated values
mass density: 8.887 Mg/m³
total energy: -7.21 eV per atom
energy of formation from the pure elements: -0.2611 eV per atom

(9)
Compound: PmB4Ru
Source: Alexandria
Functional: PBE-GGA
Structure: relaxed

a = 3.187 Å, b = 4.895 Å, c = 4.895 Å
α = 66.81°, β = 71.00°, γ = 71.00°
Each line ends with the local moment (μB).
Positions (direct):
Pm: 0.000 0.000 0.000  0.01
B: 0.248 0.416 0.087  0.00
B: 0.248 0.087 0.416  0.00
B: 0.752 0.584 0.913  0.00
B: 0.752 0.913 0.584  0.00
Ru: 0.500 0.500 0.500  0.23

Calculated values
mass density: 7.432 Mg/m³
total energy: -6.87 eV per atom
energy of formation from the pure elements: -0.0823 eV per atom

(10)
Compound: Pm2B10Ru
Source: Alexandria
Functional: PBE-GGA
Structure: relaxed

a = 4.204 Å, b = 5.745 Å, c = 11.445 Å
α = 90.00°, β = 90.00°, γ = 90.00°
Positions (direct):
Pm: 0.500 0.281 0.869
Pm: 0.500 0.719 0.131
Pm: 0.500 0.781 0.631
Pm: 0.500 0.219 0.369
B: 0.000 0.120 0.542
B: 0.000 0.880 0.458
B: 0.000 0.620 0.958
B: 0.000 0.380 0.042
B: 0.000 0.135 0.697
B: 0.000 0.865 0.303
B: 0.300 0.221 0.118
B: 0.300 0.779 0.882
B: 0.700 0.721 0.382
B: 0.700 0.279 0.618
B: 0.700 0.779 0.882
B: 0.700 0.221 0.118
B: 0.300 0.279 0.618
B: 0.300 0.721 0.382
B: 0.000 0.057 0.192
B: 0.000 0.943 0.808
B: 0.000 0.557 0.308
B: 0.000 0.443 0.692
B: 0.000 0.365 0.197
B: 0.000 0.635 0.803
Ru: 0.000 0.500 0.500
Ru: 0.000 0.000 0.000

Calculated values
mass density: 5.998 Mg/m³
total energy: -7.09 eV per atom
energy of formation from the pure elements: -0.5093 eV per atom

(11)
Compound: PmB2Ru2
Source: Alexandria
Functional: PBE-GGA
Structure: relaxed

a = 4.024 Å, b = 4.024 Å, c = 5.585 Å
α = 111.11°, β = 111.11°, γ = 90.00°
Positions (direct):
Pm: 0.000 0.000 0.000
B: 0.682 0.682 0.364
B: 0.318 0.318 0.636
Ru: 0.750 0.250 0.500
Ru: 0.250 0.750 0.500

Calculated values
mass density: 7.871 Mg/m³
total energy: -7.79 eV per atom
energy of formation from the pure elements: -0.4610 eV per atom

(12)
Compound: PmB4Ru
Source: Alexandria
Functional: PBE-GGA
Structure: relaxed

a = 3.622 Å, b = 6.039 Å, c = 11.685 Å
α = 90.00°, β = 90.00°, γ = 90.00°
Positions (direct):
Pm: 0.000 0.627 0.350
Pm: 0.000 0.373 0.650
Pm: 0.000 0.127 0.150
Pm: 0.000 0.873 0.850
B: 0.500 0.784 0.184
B: 0.500 0.216 0.816
B: 0.500 0.284 0.316
B: 0.500 0.716 0.684
B: 0.500 0.861 0.031
B: 0.500 0.139 0.969
B: 0.500 0.361 0.469
B: 0.500 0.639 0.531
B: 0.500 0.889 0.454
B: 0.500 0.111 0.546
B: 0.500 0.389 0.046
B: 0.500 0.611 0.954
B: 0.500 0.975 0.310
B: 0.500 0.025 0.690
B: 0.500 0.475 0.190
B: 0.500 0.525 0.810
Ru: 0.000 0.639 0.092
Ru: 0.000 0.361 0.908
Ru: 0.000 0.139 0.408
Ru: 0.000 0.861 0.592

Calculated values
mass density: 7.518 Mg/m³
total energy: -7.34 eV per atom
energy of formation from the pure elements: -0.5520 eV per atom

Repeat the sixth record exactly.
Compound: PmBRu2
Source: Alexandria
Functional: PBE-GGA
Structure: relaxed

a = 3.417 Å, b = 3.417 Å, c = 6.862 Å
α = 75.58°, β = 75.58°, γ = 60.00°
Positions (direct):
Ru: 0.714 0.714 0.857
Ru: 0.286 0.286 0.143
B: 0.000 0.000 0.000
Pm: 0.500 0.500 0.500

Calculated values
mass density: 8.945 Mg/m³
total energy: -7.47 eV per atom
energy of formation from the pure elements: 0.0271 eV per atom

Q: The highest mass density belongs to which entry?
A: PmBRu3

Q: Look up the energy of formation from the pure elements of the seventh one.
A: -0.1799 eV per atom

Q: energy of formation from the pure elements of number 10 (Pm2B10Ru)?
A: -0.5093 eV per atom